Entry 1:
Here is a relaxed structure of Ac2VGe3 from the Alexandria database. Energies are from PBE.

## Properties
Formation energy in kJ/mol of formula units: -272
ρ in Mg/m³: 7.7
Space group: Cmcm, No. 63
Volume in Å³/atom: 26.12

Lattice parameters (Å, degrees): 7.833 7.833 5.466 90.00 90.00 69.19
Positions (direct):
Ac 0.025 0.683 0.750
Ac 0.317 0.975 0.750
Ac 0.683 0.025 0.250
Ac 0.975 0.317 0.250
V 0.415 0.585 0.250
V 0.585 0.415 0.750
Ge 0.141 0.859 0.250
Ge 0.343 0.343 0.000
Ge 0.343 0.343 0.500
Ge 0.657 0.657 0.000
Ge 0.657 0.657 0.500
Ge 0.859 0.141 0.750

Entry 2:
Here is a relaxed structure of LaIn2Sn2 from the Alexandria database. Energies are from PBE.

## Properties
Formation energy in kJ/mol of formula units: -130
ρ in Mg/m³: 7.1
Space group: P4/mbm, No. 127
Volume in Å³/atom: 28.16

Lattice parameters (Å, degrees): 8.396 8.396 3.995 90.00 90.00 90.00
Positions (direct):
La 0.000 0.000 0.000
La 0.500 0.500 0.000
In 0.125 0.375 0.000
In 0.375 0.875 0.000
In 0.625 0.125 0.000
In 0.875 0.625 0.000
Sn 0.169 0.669 0.500
Sn 0.331 0.169 0.500
Sn 0.669 0.831 0.500
Sn 0.831 0.331 0.500

Number 2 is which compound?
LaIn2Sn2